Record 1
## ZnGaB2 (PBE-GGA)

Data for a relaxed ZnGaB2 crystal.

Geometry as POSCAR:
```
ZnGaB2
1.0
0.000 2.861 2.861
2.861 0.000 2.861
2.861 2.861 0.000
Zn B Ga
1 2 1
direct
0.000 0.000 0.000 Zn
0.250 0.250 0.250 B
0.750 0.750 0.750 B
0.500 0.500 0.500 Ga
```

Computed properties:
**DFT formation energy**: 1.24 eV per atom

=====

Record 2
## Sm6TiSn10 (PBE-GGA)

Data for a relaxed Sm6TiSn10 crystal.

Geometry as POSCAR:
```
Sm6TiSn10
1.0
6.244 0.000 0.000
0.000 8.034 -4.638
0.000 0.000 9.276
Sm Ti Sn
6 1 10
direct
0.743 0.390 0.390 Sm
0.743 0.000 0.610 Sm
0.743 0.610 0.000 Sm
0.257 0.610 0.610 Sm
0.257 0.000 0.390 Sm
0.257 0.390 0.000 Sm
0.500 0.000 0.000 Ti
0.792 0.770 0.770 Sn
0.792 0.000 0.230 Sn
0.792 0.230 0.000 Sn
0.208 0.230 0.230 Sn
0.208 0.000 0.770 Sn
0.208 0.770 0.000 Sn
0.500 0.333 0.667 Sn
0.500 0.667 0.333 Sn
0.000 0.667 0.333 Sn
0.000 0.333 0.667 Sn
```

Computed properties:
**DFT formation energy**: -0.54 eV per atom

=====

Record 3
## LaAlGaAu3 (PBE-GGA)

Data for a relaxed LaAlGaAu3 crystal.

Geometry as POSCAR:
```
LaAlGaAu3
1.0
6.377 0.000 0.000
0.000 6.742 0.000
0.000 -3.371 6.182
La Al Ga Au
2 2 2 6
direct
0.750 0.293 0.585 La
0.250 0.707 0.415 La
0.250 0.964 0.928 Al
0.750 0.036 0.072 Al
0.250 0.373 0.745 Ga
0.750 0.627 0.255 Ga
0.250 0.170 0.340 Au
0.000 0.286 0.000 Au
0.500 0.714 0.000 Au
0.500 0.286 0.000 Au
0.000 0.714 0.000 Au
0.750 0.830 0.660 Au
```

Computed properties:
**DFT formation energy**: -0.46 eV per atom

=====

Magnetic moment values (in Bohr magnetons per cell) by entry order: 0.00 0.00 0.00.